{
  "formula": "Na16Tl12Sn",
  "functional": "PBE",
  "state": "relaxed",
  "lattice_angstrom": [[6.004, -8.495, 0.000], [6.004, 8.495, 0.000], [-5.917, 0.000, 8.374]],
  "species": ["Na", "Na", "Na", "Na", "Na", "Na", "Na", "Na", "Na", "Na", "Na", "Na", "Na", "Na", "Na", "Na", "Tl", "Tl", "Tl", "Tl", "Tl", "Tl", "Tl", "Tl", "Tl", "Tl", "Tl", "Tl", "Sn"],
  "frac_coords": [[0.000, 0.000, 0.000], [0.004, 0.589, 0.310], [0.005, 0.005, 0.344], [0.006, 0.341, 0.998], [0.013, 0.319, 0.594], [0.290, 0.692, 0.695], [0.317, 0.585, 0.996], [0.319, 0.013, 0.594], [0.341, 0.006, 0.998], [0.421, 0.732, 0.420], [0.585, 0.317, 0.996], [0.589, 0.004, 0.310], [0.658, 0.658, 0.664], [0.692, 0.290, 0.695], [0.698, 0.698, 0.282], [0.732, 0.421, 0.420], [0.008, 0.816, 0.620], [0.014, 0.632, 0.816], [0.190, 0.381, 0.377], [0.192, 0.811, 0.195], [0.200, 0.200, 0.819], [0.381, 0.190, 0.377], [0.396, 0.396, 0.207], [0.620, 0.808, 0.998], [0.632, 0.014, 0.816], [0.808, 0.620, 0.998], [0.811, 0.192, 0.195], [0.816, 0.008, 0.620], [0.404, 0.404, 0.710]],
  "sg": "Cm (8)",
  "formation_energy_mev_per_atom": -102.3
}

---

{
  "formula": "Na7Tl3Sn",
  "functional": "PBE",
  "state": "relaxed",
  "lattice_angstrom": [[1.691, -13.163, 0.000], [1.691, 13.163, 0.000], [0.000, 0.000, 15.069]],
  "species": ["Na", "Na", "Na", "Na", "Na", "Na", "Na", "Na", "Na", "Na", "Na", "Na", "Na", "Na", "Tl", "Tl", "Tl", "Tl", "Tl", "Tl", "Sn", "Sn"],
  "frac_coords": [[0.024, 0.976, 0.621], [0.024, 0.976, 0.879], [0.096, 0.904, 0.250], [0.157, 0.843, 0.589], [0.157, 0.843, 0.911], [0.295, 0.705, 0.617], [0.295, 0.705, 0.883], [0.705, 0.295, 0.117], [0.705, 0.295, 0.383], [0.843, 0.157, 0.089], [0.843, 0.157, 0.411], [0.904, 0.096, 0.750], [0.976, 0.024, 0.121], [0.976, 0.024, 0.379], [0.280, 0.720, 0.250], [0.417, 0.583, 0.555], [0.417, 0.583, 0.945], [0.583, 0.417, 0.055], [0.583, 0.417, 0.445], [0.720, 0.280, 0.750], [0.399, 0.601, 0.250], [0.601, 0.399, 0.750]],
  "de_polymorph_ev_per_atom": 0.000,
  "sg": "Cmcm (63)",
  "formation_energy_mev_per_atom": -92.8
}

---

{
  "formula": "Na3Tl2Sn",
  "functional": "PBE",
  "state": "relaxed",
  "lattice_angstrom": [[6.792, 0.000, 0.000], [0.000, 5.531, 0.000], [-1.831, 0.000, 8.946]],
  "species": ["Na", "Na", "Na", "Na", "Na", "Na", "Tl", "Tl", "Tl", "Tl", "Sn", "Sn"],
  "frac_coords": [[0.027, 0.250, 0.117], [0.210, 0.250, 0.772], [0.366, 0.250, 0.441], [0.634, 0.750, 0.559], [0.790, 0.750, 0.228], [0.973, 0.750, 0.883], [0.139, 0.750, 0.534], [0.464, 0.750, 0.876], [0.536, 0.250, 0.124], [0.861, 0.250, 0.466], [0.292, 0.750, 0.214], [0.708, 0.250, 0.786]],
  "de_polymorph_ev_per_atom": 0.000,
  "sg": "P2_1/m (11)",
  "formation_energy_mev_per_atom": -122.7
}